Record 1
## ErBeP (PBE)

Data for a relaxed ErBeP crystal.

## Properties
- D(E_F) (states/eV/cell) = 26.84
- distance to the lowest polymorph of the same formula (eV per formula unit) = 1.73
- E_form (eV/atom) = -0.419
- crystal system = orthorhombic

Structure (CIF):
```
data_ErBeP
_chemical_formula_sum 'Er16 Be16 P16'
_space_group_name_H-M_alt 'F d d d'
_space_group_IT_number 70
_cell_length_a 7.8508
_cell_length_b 10.0214
_cell_length_c 11.5306
_cell_angle_alpha 90.00
_cell_angle_beta 90.00
_cell_angle_gamma 90.00
loop_
_space_group_symop_operation_xyz
'x,y,z'
'-x,-y,-z'
'-x+1/4,-y+1/4,z'
'x+1/4,y+1/4,-z'
'x,-y+1/4,-z+1/4'
'-x,y+1/4,z+1/4'
'-x+1/4,y,-z+1/4'
'x+1/4,-y,z+1/4'
'x,y+1/2,z+1/2'
'-x,-y+1/2,-z+1/2'
'-x+1/4,-y+3/4,z+1/2'
'x+1/4,y+3/4,-z+1/2'
'x,-y+3/4,-z+3/4'
'-x,y+3/4,z+3/4'
'-x+1/4,y+1/2,-z+3/4'
'x+1/4,-y+1/2,z+3/4'
'x+1/2,y,z+1/2'
'-x+1/2,-y,-z+1/2'
'-x+3/4,-y+1/4,z+1/2'
'x+3/4,y+1/4,-z+1/2'
'x+1/2,-y+1/4,-z+3/4'
'-x+1/2,y+1/4,z+3/4'
'-x+3/4,y,-z+3/4'
'x+3/4,-y,z+3/4'
'x+1/2,y+1/2,z'
'-x+1/2,-y+1/2,-z'
'-x+3/4,-y+3/4,z'
'x+3/4,y+3/4,-z'
'x+1/2,-y+3/4,-z+1/4'
'-x+1/2,y+3/4,z+1/4'
'-x+3/4,y+1/2,-z+1/4'
'x+3/4,-y+1/2,z+1/4'
loop_
_atom_site_label
_atom_site_type_symbol
_atom_site_fract_x
_atom_site_fract_y
_atom_site_fract_z
_atom_site_occupancy
Er1 Er 0.1250 0.1250 0.2864 1
Be1 Be 0.0000 0.0000 0.5000 1
P1 P 0.1162 0.3750 0.8750 1
```


Record 2
## Mn4Nb2Cu (PBE)

Data for a relaxed Mn4Nb2Cu crystal.

## Properties
- D(E_F) (states/eV/cell) = 13.64
- E_form (eV/atom) = 0.959
- crystal system = tetragonal

Structure (CIF):
```
data_Mn4Nb2Cu
_chemical_formula_sum 'Mn8 Nb4 Cu2'
_space_group_name_H-M_alt 'I 4/m m m'
_space_group_IT_number 139
_space_group_name_Hall '-I 4 2'
_cell_length_a 4.3215
_cell_length_b 4.3215
_cell_length_c 13.2054
_cell_angle_alpha 90.00
_cell_angle_beta 90.00
_cell_angle_gamma 90.00
loop_
_atom_site_label
_atom_site_type_symbol
_atom_site_fract_x
_atom_site_fract_y
_atom_site_fract_z
_atom_site_occupancy
Mn1 Mn 0.0000 0.0000 0.1841 1
Mn2 Mn 0.0000 0.5000 0.0000 1
Nb1 Nb 0.0000 0.0000 0.3866 1
Cu1 Cu 0.0000 0.0000 0.0000 1
```


Record 3
## LiInGa2Br4 (PBE)

Data for a relaxed LiInGa2Br4 crystal.

## Properties
- formation energy (no corrections) (eV/atom) = -0.76
- crystal system = orthorhombic

Structure (CIF):
```
data_LiInGa2Br4
_chemical_formula_sum 'Li4 In4 Ga8 Br16'
_space_group_name_H-M_alt 'I m m a'
_space_group_IT_number 74
_space_group_name_Hall '-I 2b 2'
_cell_length_a 8.8631
_cell_length_b 8.9111
_cell_length_c 12.5109
_cell_angle_alpha 90.00
_cell_angle_beta 90.00
_cell_angle_gamma 90.00
loop_
_atom_site_label
_atom_site_type_symbol
_atom_site_fract_x
_atom_site_fract_y
_atom_site_fract_z
_atom_site_occupancy
Li1 Li 0.0000 0.0000 0.0000 1
In1 In 0.2500 0.2500 0.2500 1
Ga1 Ga 0.0000 0.0000 0.5000 1
Ga2 Ga 0.2500 0.2500 0.7500 1
Br1 Br 0.0000 0.0109 0.7775 1
Br2 Br 0.2397 0.2500 0.9947 1
```


Record 4
## Tm6Hg2H (PBE)

Data for a relaxed Tm6Hg2H crystal.

## Properties
- electronic total energy (eV per atom) = -3.674
- D(E_F) (states/eV/cell) = 16.55
- crystal system = monoclinic

Structure (CIF):
```
data_Tm6Hg2H
_chemical_formula_sum 'Tm12 Hg4 H2'
_space_group_name_H-M_alt 'P 1 21/c 1'
_space_group_IT_number 14
_cell_length_a 6.5022
_cell_length_b 6.7876
_cell_length_c 11.8786
_cell_angle_alpha 90.00
_cell_angle_beta 120.99
_cell_angle_gamma 90.00
loop_
_space_group_symop_operation_xyz
'x,y,z'
'-x,-y,-z'
'-x,y+1/2,-z+1/2'
'x,-y+1/2,z+1/2'
loop_
_atom_site_label
_atom_site_type_symbol
_atom_site_fract_x
_atom_site_fract_y
_atom_site_fract_z
_atom_site_occupancy
Tm1 Tm 0.1225 0.0021 0.2485 1
Tm2 Tm 0.2030 0.1908 0.5363 1
Tm3 Tm 0.3615 0.6933 0.5376 1
Hg1 Hg 0.3352 0.6030 0.2556 1
H1 H 0.5000 0.0000 0.5000 1
```


Record 5
## Mg2ScIn2 (PBE)

Data for a relaxed Mg2ScIn2 crystal.

## Properties
- D(E_F) (states/eV/cell) = 6.35
- distance to the lowest polymorph of the same formula (eV per formula unit) = 0.00
- E_form (eV/atom) = -0.087
- crystal system = tetragonal

Structure (CIF):
```
data_Mg2ScIn2
_chemical_formula_sum 'Mg4 Sc2 In4'
_space_group_name_H-M_alt 'P 4/m b m'
_space_group_IT_number 127
_space_group_name_Hall '-P 4 2ab'
_cell_length_a 8.2292
_cell_length_b 8.2292
_cell_length_c 3.4906
_cell_angle_alpha 90.00
_cell_angle_beta 90.00
_cell_angle_gamma 90.00
loop_
_atom_site_label
_atom_site_type_symbol
_atom_site_fract_x
_atom_site_fract_y
_atom_site_fract_z
_atom_site_occupancy
Mg1 Mg 0.1636 0.3364 0.0000 1
Sc1 Sc 0.0000 0.0000 0.5000 1
In1 In 0.1371 0.6371 0.5000 1
```


Record 6
## Y3Tm (PBE)

Data for a relaxed Y3Tm crystal.

## Properties
- D(E_F) (states/eV/cell) = 16.82
- distance to the lowest polymorph of the same formula (eV per formula unit) = 0.01
- E_form (eV/atom) = 0.003
- crystal system = hexagonal

Structure (CIF):
```
data_Y3Tm
_chemical_formula_sum 'Y6 Tm2'
_space_group_name_H-M_alt 'P 63/m m c'
_space_group_IT_number 194
_space_group_name_Hall '-P 6c 2c'
_cell_length_a 7.2512
_cell_length_b 7.2512
_cell_length_c 5.6365
_cell_angle_alpha 90.00
_cell_angle_beta 90.00
_cell_angle_gamma 120.00
loop_
_atom_site_label
_atom_site_type_symbol
_atom_site_fract_x
_atom_site_fract_y
_atom_site_fract_z
_atom_site_occupancy
Y1 Y 0.1675 0.3350 0.2500 1
Tm1 Tm 0.3333 0.6667 0.7500 1
```


Record 7
## Tm4AlCo (PBE)

Data for a relaxed Tm4AlCo crystal.

## Properties
- D(E_F) (states/eV/cell) = 61.24
- distance to the lowest polymorph of the same formula (eV per formula unit) = 0.00
- E_form (eV/atom) = -0.312
- crystal system = cubic

Structure (CIF):
```
data_Tm4AlCo
_chemical_formula_sum 'Tm64 Al16 Co16'
_space_group_name_H-M_alt 'F -4 3 m'
_space_group_IT_number 216
_space_group_name_Hall 'F -4 2 3'
_cell_length_a 13.1124
_cell_length_b 13.1124
_cell_length_c 13.1124
_cell_angle_alpha 90.00
_cell_angle_beta 90.00
_cell_angle_gamma 90.00
loop_
_atom_site_label
_atom_site_type_symbol
_atom_site_fract_x
_atom_site_fract_y
_atom_site_fract_z
_atom_site_occupancy
Tm1 Tm 0.0000 0.0000 0.1882 1
Tm2 Tm 0.0578 0.2500 0.7500 1
Tm3 Tm 0.0993 0.0993 0.4007 1
Al1 Al 0.1722 0.1722 0.1722 1
Co1 Co 0.1093 0.1093 0.6093 1
```


Record 8
## FeP2 (PBE)

Data for a relaxed FeP2 crystal.

## Properties
- D(E_F) (states/eV/cell) = 1.75
- E_form (eV/atom) = -0.119
- crystal system = trigonal

Structure (CIF):
```
data_FeP2
_chemical_formula_sum 'Fe1 P2'
_space_group_name_H-M_alt 'P -3 m 1'
_space_group_IT_number 164
_space_group_name_Hall '-P 3 2"'
_cell_length_a 2.9973
_cell_length_b 2.9973
_cell_length_c 4.8121
_cell_angle_alpha 90.00
_cell_angle_beta 90.00
_cell_angle_gamma 120.00
loop_
_atom_site_label
_atom_site_type_symbol
_atom_site_fract_x
_atom_site_fract_y
_atom_site_fract_z
_atom_site_occupancy
Fe1 Fe 0.0000 0.0000 0.0000 1
P1 P 0.3333 0.6667 0.3168 1
```


Record 9
## La3Tb4Dy (PBE)

Data for a relaxed La3Tb4Dy crystal.

## Properties
- D(E_F) (states/eV/cell) = 25.67
- distance to the lowest polymorph of the same formula (eV per formula unit) = 0.77
- E_form (eV/atom) = 0.129
- crystal system = orthorhombic

Structure (CIF):
```
data_La3Tb4Dy
_chemical_formula_sum 'La6 Tb8 Dy2'
_space_group_name_H-M_alt 'I m m m'
_space_group_IT_number 71
_space_group_name_Hall '-I 2 2'
_cell_length_a 3.5159
_cell_length_b 11.8555
_cell_length_c 13.1682
_cell_angle_alpha 90.00
_cell_angle_beta 90.00
_cell_angle_gamma 90.00
loop_
_atom_site_label
_atom_site_type_symbol
_atom_site_fract_x
_atom_site_fract_y
_atom_site_fract_z
_atom_site_occupancy
La1 La 0.0000 0.0000 0.0000 1
La2 La 0.0000 0.5000 0.2430 1
Tb1 Tb 0.0000 0.2456 0.3659 1
Dy1 Dy 0.0000 0.0000 0.5000 1
```


Record 10
## Er5Au2 (PBE)

Data for a relaxed Er5Au2 crystal.

## Properties
- D(E_F) (states/eV/cell) = 24.46
- distance to the lowest polymorph of the same formula (eV per formula unit) = 0.37
- E_form (eV/atom) = -0.469
- crystal system = orthorhombic

Structure (CIF):
```
data_Er5Au2
_chemical_formula_sum 'Er20 Au8'
_space_group_name_H-M_alt 'I b a m'
_space_group_IT_number 72
_space_group_name_Hall '-I 2 2c'
_cell_length_a 7.1164
_cell_length_b 15.3976
_cell_length_c 6.7517
_cell_angle_alpha 90.00
_cell_angle_beta 90.00
_cell_angle_gamma 90.00
loop_
_atom_site_label
_atom_site_type_symbol
_atom_site_fract_x
_atom_site_fract_y
_atom_site_fract_z
_atom_site_occupancy
Er1 Er 0.0000 0.0000 0.2500 1
Er2 Er 0.0000 0.2252 0.2500 1
Er3 Er 0.1402 0.4114 0.0000 1
Au1 Au 0.2479 0.1162 0.0000 1
```


Record 11
## BaTeH (PBE)

Data for a relaxed BaTeH crystal.

## Properties
- electronic total energy (eV per atom) = -3.926
- D(E_F) (states/eV/cell) = 0.00
- crystal system = monoclinic

Structure (CIF):
```
data_BaTeH
_chemical_formula_sum 'Ba4 Te4 H4'
_space_group_name_H-M_alt 'C 1 2/m 1'
_space_group_IT_number 12
_cell_length_a 9.5587
_cell_length_b 6.4146
_cell_length_c 7.0076
_cell_angle_alpha 90.00
_cell_angle_beta 90.93
_cell_angle_gamma 90.00
loop_
_space_group_symop_operation_xyz
'x,y,z'
'-x,-y,-z'
'-x,y,-z'
'x,-y,z'
'x+1/2,y+1/2,z'
'-x+1/2,-y+1/2,-z'
'-x+1/2,y+1/2,-z'
'x+1/2,-y+1/2,z'
loop_
_atom_site_label
_atom_site_type_symbol
_atom_site_fract_x
_atom_site_fract_y
_atom_site_fract_z
_atom_site_occupancy
Ba1 Ba 0.1824 0.0000 0.2517 1
Te1 Te 0.1784 0.0000 0.7536 1
H1 H 0.0288 0.5000 0.4630 1
```


Record 12
## TbPuPb2O6 (PBE)

Data for a relaxed TbPuPb2O6 crystal.

## Properties
- formation energy (no corrections) (eV/atom) = -2.29
- D(E_F) (states/eV/cell) = 19.06
- crystal system = monoclinic

Structure (CIF):
```
data_TbPuPb2O6
_chemical_formula_sum 'Tb2 Pu2 Pb4 O12'
_space_group_name_H-M_alt 'P 1 21/c 1'
_space_group_IT_number 14
_cell_length_a 5.9950
_cell_length_b 6.1306
_cell_length_c 10.4829
_cell_angle_alpha 90.00
_cell_angle_beta 124.79
_cell_angle_gamma 90.00
loop_
_space_group_symop_operation_xyz
'x,y,z'
'-x,-y,-z'
'-x,y+1/2,-z+1/2'
'x,-y+1/2,z+1/2'
loop_
_atom_site_label
_atom_site_type_symbol
_atom_site_fract_x
_atom_site_fract_y
_atom_site_fract_z
_atom_site_occupancy
Tb1 Tb 0.0000 0.0000 0.0000 1
Pu1 Pu 0.5000 0.0000 0.5000 1
Pb1 Pb 0.2432 0.0324 0.7482 1
O1 O 0.1607 0.1911 0.4543 1
O2 O 0.2622 0.7100 0.4508 1
O3 O 0.3534 0.0274 0.2577 1
```


Record 13
## FeAsSe2 (PBE)

Data for a relaxed FeAsSe2 crystal.

## Properties
- formation energy (no corrections) (eV/atom) = 0.02
- D(E_F) (states/eV/cell) = 2.89
- crystal system = monoclinic

Structure (CIF):
```
data_FeAsSe2
_chemical_formula_sum 'Fe1 As1 Se2'
_space_group_name_H-M_alt 'P 1 2/m 1'
_space_group_IT_number 10
_cell_length_a 4.4969
_cell_length_b 3.5385
_cell_length_c 5.4424
_cell_angle_alpha 90.00
_cell_angle_beta 92.00
_cell_angle_gamma 90.00
loop_
_space_group_symop_operation_xyz
'x,y,z'
'-x,-y,-z'
'-x,y,-z'
'x,-y,z'
loop_
_atom_site_label
_atom_site_type_symbol
_atom_site_fract_x
_atom_site_fract_y
_atom_site_fract_z
_atom_site_occupancy
Fe1 Fe 0.0000 0.0000 0.0000 1
As1 As 0.5000 0.0000 0.0000 1
Se1 Se 0.1619 0.5000 0.2767 1
```


Record 14
## DyErPd2 (PBE)

Data for a relaxed DyErPd2 crystal.

## Properties
- D(E_F) (states/eV/cell) = 11.30
- distance to the lowest polymorph of the same formula (eV per formula unit) = 0.10
- E_form (eV/atom) = -0.906
- crystal system = cubic

Structure (CIF):
```
data_DyErPd2
_chemical_formula_sum 'Dy4 Er4 Pd8'
_space_group_name_H-M_alt 'F m -3 m'
_space_group_IT_number 225
_space_group_name_Hall '-F 4 2 3'
_cell_length_a 6.9961
_cell_length_b 6.9961
_cell_length_c 6.9961
_cell_angle_alpha 90.00
_cell_angle_beta 90.00
_cell_angle_gamma 90.00
loop_
_atom_site_label
_atom_site_type_symbol
_atom_site_fract_x
_atom_site_fract_y
_atom_site_fract_z
_atom_site_occupancy
Dy1 Dy 0.0000 0.0000 0.0000 1
Er1 Er 0.0000 0.0000 0.5000 1
Pd1 Pd 0.2500 0.2500 0.2500 1
```


Record 15
## AsP2Rh (PBE)

Data for a relaxed AsP2Rh crystal.

## Properties
- D(E_F) (states/eV/cell) = 1.89
- E_form (eV/atom) = -0.120
- crystal system = monoclinic

Structure (CIF):
```
data_AsP2Rh
_chemical_formula_sum 'As2 P4 Rh2'
_space_group_name_H-M_alt 'C 1 m 1'
_space_group_IT_number 8
_cell_length_a 7.0834
_cell_length_b 3.4502
_cell_length_c 5.9082
_cell_angle_alpha 90.00
_cell_angle_beta 103.26
_cell_angle_gamma 90.00
loop_
_space_group_symop_operation_xyz
'x,y,z'
'x,-y,z'
'x+1/2,y+1/2,z'
'x+1/2,-y+1/2,z'
loop_
_atom_site_label
_atom_site_type_symbol
_atom_site_fract_x
_atom_site_fract_y
_atom_site_fract_z
_atom_site_occupancy
As1 As 0.0000 0.0000 0.0000 1
P1 P 0.3565 0.0000 0.7351 1
P2 P 0.4766 0.0000 0.4270 1
Rh1 Rh 0.2724 0.5000 0.2568 1
```


Record 16
## CeHo2Tl3Se6 (PBE)

Data for a relaxed CeHo2Tl3Se6 crystal.

## Properties
- formation energy (no corrections) (eV/atom) = -1.36
- D(E_F) (states/eV/cell) = 16.77
- crystal system = monoclinic

Structure (CIF):
```
data_CeHo2Tl3Se6
_chemical_formula_sum 'Ce2 Ho4 Tl6 Se12'
_space_group_name_H-M_alt 'C 1 2/m 1'
_space_group_IT_number 12
_cell_length_a 7.3261
_cell_length_b 12.6843
_cell_length_c 8.1415
_cell_angle_alpha 90.00
_cell_angle_beta 107.43
_cell_angle_gamma 90.00
loop_
_space_group_symop_operation_xyz
'x,y,z'
'-x,-y,-z'
'-x,y,-z'
'x,-y,z'
'x+1/2,y+1/2,z'
'-x+1/2,-y+1/2,-z'
'-x+1/2,y+1/2,-z'
'x+1/2,-y+1/2,z'
loop_
_atom_site_label
_atom_site_type_symbol
_atom_site_fract_x
_atom_site_fract_y
_atom_site_fract_z
_atom_site_occupancy
Ce1 Ce 0.0000 0.0000 0.0000 1
Ho1 Ho 0.0000 0.3333 0.0000 1
Tl1 Tl 0.0000 0.1656 0.5000 1
Tl2 Tl 0.0000 0.5000 0.5000 1
Se1 Se 0.2251 0.5000 0.2037 1
Se2 Se 0.2401 0.1715 0.2056 1
```


Record 17
## CsTl2HgCl8 (PBE)

Data for a relaxed CsTl2HgCl8 crystal.

## Properties
- formation energy (no corrections) (eV/atom) = -0.83
- D(E_F) (states/eV/cell) = 13.04
- crystal system = trigonal

Structure (CIF):
```
data_CsTl2HgCl8
_chemical_formula_sum 'Cs3 Tl6 Hg3 Cl24'
_space_group_name_H-M_alt 'R -3'
_space_group_IT_number 148
_space_group_name_Hall '-R 3'
_cell_length_a 6.9166
_cell_length_b 6.9166
_cell_length_c 29.6262
_cell_angle_alpha 90.00
_cell_angle_beta 90.00
_cell_angle_gamma 120.00
loop_
_atom_site_label
_atom_site_type_symbol
_atom_site_fract_x
_atom_site_fract_y
_atom_site_fract_z
_atom_site_occupancy
Cs1 Cs 0.0000 0.0000 0.0000 1
Tl1 Tl 0.0000 0.0000 0.2443 1
Hg1 Hg 0.0000 0.0000 0.5000 1
Cl1 Cl 0.0000 0.0000 0.3296 1
Cl2 Cl 0.0035 0.3600 0.7801 1
```


The following magnetization values (in μB per atom) correspond, in order, to the records above: 0.000, 1.354, 0.000, 0.000, 0.084, 0.001, 0.000, 0.384, 0.000, 0.000, 0.000, 0.300, 0.000, 0.000, 0.000, 0.084, 0.000.